{
  "formula": "NaLiMgGe",
  "functional": "GGA-PBE",
  "state": "relaxed",
  "lattice": [[0.000, 3.361, 3.361], [3.361, 0.000, 3.361], [3.361, 3.361, 0.000]],
  "species": ["Na", "Li", "Mg", "Ge"],
  "fractional_positions": [[0.000, 0.000, 0.000], [0.250, 0.250, 0.250], [0.750, 0.750, 0.750], [0.500, 0.500, 0.500]],
  "formation_enthalpy_0k_ev_per_atom": -0.197
}

{
  "formula": "PmNd8Pb6",
  "functional": "GGA-PBE",
  "state": "relaxed",
  "lattice": [[4.742, 2.738, 6.699], [-4.742, 2.738, 6.699], [0.000, -5.476, 6.699]],
  "species": ["Pm", "Nd", "Nd", "Nd", "Nd", "Nd", "Nd", "Nd", "Nd", "Pb", "Pb", "Pb", "Pb", "Pb", "Pb"],
  "fractional_positions": [[0.000, 0.000, 0.000], [0.102, 0.768, 0.437], [0.232, 0.563, 0.898], [0.333, 0.333, 0.333], [0.437, 0.102, 0.768], [0.563, 0.898, 0.232], [0.667, 0.667, 0.667], [0.768, 0.437, 0.102], [0.898, 0.232, 0.563], [0.069, 0.401, 0.737], [0.263, 0.931, 0.599], [0.401, 0.737, 0.069], [0.599, 0.263, 0.931], [0.737, 0.069, 0.401], [0.931, 0.599, 0.263]],
  "formation_enthalpy_0k_ev_per_atom": -0.403
}

Q: Which formula does entry 1 have?
A: NaLiMgGe